No. 1
Entry from the Alexandria database: a geometry-optimized K2MgTlBr6 structure (PBE).

## Properties
- theoretical density (g/cm3) = 3.91
- D(E_F) (states/eV per cell) = 12.1
- ΔE_f (raw) (meV per atom) = -1281
- total moment (μB per cell) = 0.0

Lattice parameters (Å, degrees): 7.631 7.998 13.340 90.00 124.83 90.00
Space group P2_1/c (No. 14)
Inequivalent atoms, fractional coordinates:
K (0.225, 0.079, 0.252) x4
Mg (0.500, 0.000, 0.000) x2
Tl (0.000, 0.000, 0.500) x2
Br (0.160, 0.182, 0.951) x4
Br (0.265, 0.714, 0.946) x4
Br (0.370, 0.024, 0.765) x4

No. 2
Entry from the Alexandria database: a geometry-optimized KMgTl2Br8 structure (PBE).

## Properties
- theoretical density (g/cm3) = 4.27
- D(E_F) (states/eV per cell) = 8.2
- ΔE_f (raw) (meV per atom) = -880
- total moment (μB per cell) = 0.0

Lattice parameters (Å, degrees): 7.1757 7.1757 9.6979 90.00 90.00 120.00
Space group P-3 (No. 147)
Inequivalent atoms, fractional coordinates:
K (0.0000, 0.0000, 0.0000) x1
Mg (0.0000, 0.0000, 0.5000) x1
Tl (0.3333, 0.6667, 0.7297) x2
Br (0.0367, 0.7196, 0.3334) x6
Br (0.3333, 0.6667, 0.0054) x2

No. 3
Entry from the Alexandria database: a geometry-optimized KMgUBr6 structure (PBE).

## Properties
- theoretical density (g/cm3) = 3.86
- D(E_F) (states/eV per cell) = 0.1
- ΔE_f (raw) (meV per atom) = -1450
- total moment (μB per cell) = 6.0

Lattice parameters (Å, degrees): 7.3211 7.3211 14.4618 90.00 90.00 120.00
Space group P-31c (No. 163)
Inequivalent atoms, fractional coordinates:
K (0.0000, 0.0000, 0.0000) x2
Mg (0.3333, 0.6667, 0.2500) x2
U (0.3333, 0.6667, 0.7500) x2
Br (0.0213, 0.3795, 0.1396) x12

No. 4
Entry from the Alexandria database: a geometry-optimized KMg2VBr8 structure (PBE).

## Properties
- theoretical density (g/cm3) = 3.40
- D(E_F) (states/eV per cell) = 6.3
- ΔE_f (raw) (meV per atom) = -1223
- total moment (μB per cell) = 2.0

Lattice parameters (Å, degrees): 6.632 6.632 9.167 78.75 78.50 76.49
Space group P-1 (No. 2)
Inequivalent atoms, fractional coordinates:
K (0.000, 0.000, 0.000) x1
Mg (0.441, 0.443, 0.226) x2
V (0.000, 0.000, 0.500) x1
Br (0.188, 0.748, 0.709) x2
Br (0.242, 0.249, 0.478) x2
Br (0.258, 0.817, 0.290) x2
Br (0.324, 0.333, 0.010) x2

No. 5
Entry from the Alexandria database: a geometry-optimized KMgV2Br structure (PBE).

## Properties
- theoretical density (g/cm3) = 2.55
- D(E_F) (states/eV per cell) = 3.9
- ΔE_f (raw) (meV per atom) = 984
- total moment (μB per cell) = 7.9

Lattice parameters (Å, degrees): 5.049 5.049 6.261 90.00 90.00 90.00
Space group P4/mmm (No. 123)
Inequivalent atoms, fractional coordinates:
K (0.000, 0.000, 0.000) x1
Mg (0.500, 0.500, 0.000) x1
V (0.000, 0.500, 0.500) x2
Br (0.500, 0.500, 0.500) x1

No. 6
Entry from the Alexandria database: a geometry-optimized KMgVBr6 structure (PBE).

## Properties
- theoretical density (g/cm3) = 3.31
- D(E_F) (states/eV per cell) = 20.2
- ΔE_f (raw) (meV per atom) = -1254
- total moment (μB per cell) = 4.0

Lattice parameters (Å, degrees): 6.8318 6.8318 14.7297 90.00 90.00 120.00
Space group P-31c (No. 163)
Inequivalent atoms, fractional coordinates:
K (0.0000, 0.0000, 0.0000) x2
Mg (0.3333, 0.6667, 0.2500) x2
V (0.3333, 0.6667, 0.7500) x2
Br (0.0138, 0.3777, 0.6488) x12

No. 7
Entry from the Alexandria database: a geometry-optimized KMg2WBr structure (PBE).

## Properties
- theoretical density (g/cm3) = 2.24
- D(E_F) (states/eV per cell) = 1.9
- ΔE_f (raw) (meV per atom) = 1853
- total moment (μB per cell) = 5.8

Lattice parameters (Å, degrees): 6.504 6.504 6.151 90.00 90.00 90.00
Space group P4/mmm (No. 123)
Inequivalent atoms, fractional coordinates:
K (0.000, 0.000, 0.000) x1
Mg (0.000, 0.500, 0.000) x2
W (0.000, 0.000, 0.500) x1
Br (0.500, 0.500, 0.500) x1

No. 8
Entry from the Alexandria database: a geometry-optimized KYMg2Br8 structure (PBE).

## Properties
- theoretical density (g/cm3) = 3.55
- D(E_F) (states/eV per cell) = 0.0
- ΔE_f (raw) (meV per atom) = -1571
- total moment (μB per cell) = 0.0

Lattice parameters (Å, degrees): 6.546 6.840 8.529 89.90 89.88 88.68
Space group P-1 (No. 2)
Inequivalent atoms, fractional coordinates:
K (0.000, 0.000, 0.000) x1
Y (0.000, 0.000, 0.500) x1
Mg (0.500, 0.500, 0.240) x2
Br (0.252, 0.818, 0.724) x2
Br (0.253, 0.819, 0.276) x2
Br (0.271, 0.333, 0.500) x2
Br (0.284, 0.363, 0.000) x2

No. 9
Entry from the Alexandria database: a geometry-optimized KYMgBr6 structure (PBE).

## Properties
- theoretical density (g/cm3) = 3.23
- D(E_F) (states/eV per cell) = 0.0
- ΔE_f (raw) (meV per atom) = -1731
- total moment (μB per cell) = 0.0

Lattice parameters (Å, degrees): 7.1662 7.1662 14.5885 90.00 90.00 120.00
Space group P-31c (No. 163)
Inequivalent atoms, fractional coordinates:
K (0.0000, 0.0000, 0.0000) x2
Y (0.3333, 0.6667, 0.2500) x2
Mg (0.3333, 0.6667, 0.7500) x2
Br (0.0113, 0.3770, 0.6413) x12

No. 10
Entry from the Alexandria database: a geometry-optimized KMgZnBr5 structure (PBE).

## Properties
- theoretical density (g/cm3) = 3.45
- D(E_F) (states/eV per cell) = 0.0
- ΔE_f (raw) (meV per atom) = -1308
- total moment (μB per cell) = 0.0

Lattice parameters (Å, degrees): 9.269 12.176 9.815 90.00 113.20 90.00
Space group C2/c (No. 15)
Inequivalent atoms, fractional coordinates:
K (0.000, 0.156, 0.250) x4
Mg (0.000, 0.500, 0.000) x4
Zn (0.000, 0.187, 0.750) x4
Br (0.000, 0.426, 0.250) x4
Br (0.114, 0.296, 0.609) x8
Br (0.190, 0.067, 0.937) x8

No. 11
Entry from the Alexandria database: a geometry-optimized KMn2Br structure (PBE).

## Properties
- theoretical density (g/cm3) = 3.20
- D(E_F) (states/eV per cell) = 7.3
- ΔE_f (raw) (meV per atom) = 466
- excess energy over the best structure of this formula in the dataset (eV/atom) = 0.263
- total moment (μB per cell) = 16.4

Lattice parameters (Å, degrees): 3.288 6.699 10.771 90.00 90.00 90.00
Space group Imm2 (No. 44)
Inequivalent atoms, fractional coordinates:
K (0.000, 0.000, 0.000) x2
Mn (0.000, 0.000, 0.546) x2
Mn (0.000, 0.500, 0.853) x2
Br (0.000, 0.500, 0.232) x2

No. 12
Entry from the Alexandria database: a geometry-optimized KMnBr3 structure (PBE).

## Properties
- theoretical density (g/cm3) = 3.15
- D(E_F) (states/eV per cell) = 0.0
- ΔE_f (raw) (meV per atom) = -1161
- excess energy over the best structure of this formula in the dataset (eV/atom) = 0.010
- total moment (μB per cell) = 20.0

Lattice parameters (Å, degrees): 13.490 10.279 5.076 90.00 90.93 90.00
Space group C2/m (No. 12)
Inequivalent atoms, fractional coordinates:
K (0.211, 0.000, 0.253) x4
Mn (0.000, 0.325, 0.500) x4
Br (0.104, 0.500, 0.263) x4
Br (0.127, 0.201, 0.743) x8